No. 1
# BaAs3Cl

A relaxed BaAs3Cl crystal (PBE, Alexandria).

Unit cell a=5.146 b=5.146 c=5.146 alpha=90.00 beta=90.00 gamma=90.00
Sites, in units of the cell vectors:
As 0.000 0.500 0.000
As 0.000 0.000 0.500
As 0.500 0.000 0.000
Ba 0.500 0.500 0.500
Cl 0.000 0.000 0.000

Output
**Energy**: -3.38 eV per atom
**Space-group type**: Pm-3m (221)
**Formation energy (no corrections)**: 0.8 eV per formula unit

***

No. 2
# BaAsCl

A relaxed BaAsCl crystal (PBE, Alexandria).

Unit cell a=5.188 b=5.188 c=4.701 alpha=90.00 beta=90.00 gamma=120.00
Each line ends with the local moment (μB).
Sites, in units of the cell vectors:
Ba 0.667 0.333 0.499  0.04
As 0.000 0.000 0.999  0.77
Cl 0.333 0.667 0.502  0.08

Output
**Energy**: -3.66 eV per atom
**Space-group type**: P3m1 (156)
**Formation energy (no corrections)**: -2.6 eV per formula unit

***

No. 3
# BaAsCl2

A relaxed BaAsCl2 crystal (PBE, Alexandria).

Unit cell a=4.012 b=6.081 c=4.564 alpha=90.00 beta=90.00 gamma=90.00
Sites, in units of the cell vectors:
Cl 0.000 0.000 0.000
Cl 0.500 0.500 0.000
Ba 0.000 0.500 0.500
As 0.500 0.000 0.500

Output
**Energy**: -3.66 eV per atom
**Space-group type**: Pmmm (47)
**Formation energy (no corrections)**: -4.4 eV per formula unit

***

No. 4
# BaAsCl

A relaxed BaAsCl crystal (PBE, Alexandria).

Unit cell a=6.502 b=6.502 c=6.502 alpha=141.18 beta=144.26 gamma=53.79
Each line ends with the local moment (μB).
Sites, in units of the cell vectors:
Ba 0.316 0.316 0.000  0.05
Cl 0.704 0.704 0.000  0.10
As 0.980 0.980 0.000  0.56

Output
**Energy**: -3.70 eV per atom
**Space-group type**: Imm2 (44)
**Formation energy (no corrections)**: -2.7 eV per formula unit

***

No. 5
# BaAsCl2

A relaxed BaAsCl2 crystal (PBE, Alexandria).

Unit cell a=5.516 b=5.516 c=5.516 alpha=60.00 beta=60.00 gamma=60.00
Each line ends with the local moment (μB).
Sites, in units of the cell vectors:
Cl 0.000 0.000 0.000  0.10
Cl 0.250 0.250 0.250  0.29
As 0.500 0.500 0.500  1.09
Ba 0.750 0.750 0.750  0.12

Output
**Energy**: -3.43 eV per atom
**Space-group type**: F-43m (216)
**Formation energy (no corrections)**: -3.4 eV per formula unit

***

No. 6
# BaAsCl2

A relaxed BaAsCl2 crystal (PBE, Alexandria).

Unit cell a=4.814 b=4.814 c=6.012 alpha=90.00 beta=90.00 gamma=90.00
Each line ends with the local moment (μB).
Sites, in units of the cell vectors:
Ba 0.500 0.500 0.723  0.03
Cl 0.500 0.500 0.229  0.05
Cl 0.000 0.000 0.964  0.07
As 0.000 0.000 0.584  0.36

Output
**Energy**: -3.64 eV per atom
**Space-group type**: P4mm (99)
**Formation energy (no corrections)**: -4.3 eV per formula unit

***

No. 7
# BaAsCl

A relaxed BaAsCl crystal (PBE, Alexandria).

Unit cell a=5.258 b=5.258 c=5.258 alpha=60.00 beta=60.00 gamma=60.00
Each line ends with the local moment (μB).
Sites, in units of the cell vectors:
Ba 0.500 0.500 0.500  0.05
As 0.000 0.000 0.000  0.73
Cl 0.750 0.750 0.750  0.18

Output
**Energy**: -3.59 eV per atom
**Space-group type**: F-43m (216)
**Formation energy (no corrections)**: -2.4 eV per formula unit

***

No. 8
# BaAsCl

A relaxed BaAsCl crystal (PBE, Alexandria).

Unit cell a=5.445 b=5.445 c=5.445 alpha=60.00 beta=60.00 gamma=60.00
Each line ends with the local moment (μB).
Sites, in units of the cell vectors:
As 0.500 0.500 0.500  0.75
Cl 0.000 0.000 0.000  0.12
Ba 0.750 0.750 0.750  0.09

Output
**Energy**: -3.66 eV per atom
**Space-group type**: F-43m (216)
**Formation energy (no corrections)**: -2.6 eV per formula unit

***

No. 9
# BaAsCl3

A relaxed BaAsCl3 crystal (PBE, Alexandria).

Unit cell a=6.019 b=6.019 c=6.019 alpha=90.00 beta=90.00 gamma=90.00
Each line ends with the local moment (μB).
Sites, in units of the cell vectors:
Cl 0.000 0.500 0.000  -0.03
Cl 0.500 0.000 0.000  -0.04
Cl 0.000 0.000 0.500  -0.10
As 0.500 0.500 0.500  1.04
Ba 0.000 0.000 0.000  0.00

Output
**Energy**: -3.23 eV per atom
**Space-group type**: Pm-3m (221)
**Formation energy (no corrections)**: -4.0 eV per formula unit

***

No. 10
# BaAsCl2

A relaxed BaAsCl2 crystal (PBE, Alexandria).

Unit cell a=5.510 b=5.510 c=5.152 alpha=82.83 beta=82.83 gamma=53.17
Each line ends with the local moment (μB).
Sites, in units of the cell vectors:
Cl 0.060 0.060 0.966  0.04
Cl 0.440 0.440 0.534  0.04
As 0.250 0.250 0.250  0.38
Ba 0.750 0.750 0.750  0.01

Output
**Energy**: -3.80 eV per atom
**Space-group type**: C2/m (12)
**Formation energy (no corrections)**: -4.9 eV per formula unit

***

No. 11
# Ba2AsCl

A relaxed Ba2AsCl crystal (PBE, Alexandria).

Unit cell a=5.660 b=5.660 c=5.660 alpha=60.00 beta=60.00 gamma=60.00
Sites, in units of the cell vectors:
Cl 0.000 0.000 0.000
As 0.500 0.500 0.500
Ba 0.250 0.250 0.250
Ba 0.750 0.750 0.750

Output
**Energy**: -4.15 eV per atom
**Space-group type**: Fm-3m (225)
**Formation energy (no corrections)**: -6.3 eV per formula unit

***

No. 12
# BaAsCl3

A relaxed BaAsCl3 crystal (PBE, Alexandria).

Unit cell a=5.335 b=5.335 c=5.335 alpha=90.00 beta=90.00 gamma=90.00
Sites, in units of the cell vectors:
As 0.000 0.000 0.000
Ba 0.500 0.500 0.500
Cl 0.500 0.000 0.000
Cl 0.000 0.500 0.000
Cl 0.000 0.000 0.500

Output
**Energy**: -3.44 eV per atom
**Space-group type**: Pm-3m (221)
**Formation energy (no corrections)**: -5.1 eV per formula unit

***

No. 13
# BaAsCl2

A relaxed BaAsCl2 crystal (PBE, Alexandria).

Unit cell a=7.845 b=7.845 c=7.845 alpha=148.78 beta=149.58 gamma=44.14
Sites, in units of the cell vectors:
As 0.510 0.510 0.000
Cl 0.766 0.266 0.500
Cl 0.027 0.027 0.000
Ba 0.197 0.697 0.500

Output
**Energy**: -3.66 eV per atom
**Space-group type**: Imm2 (44)
**Formation energy (no corrections)**: -4.4 eV per formula unit

***

No. 14
# Ba2AsCl

A relaxed Ba2AsCl crystal (PBE, Alexandria).

Unit cell a=4.023 b=4.023 c=8.215 alpha=90.00 beta=90.00 gamma=90.03
Sites, in units of the cell vectors:
As 0.500 0.500 0.750
Cl 0.500 0.500 0.250
Ba 0.000 0.000 0.532
Ba 0.000 0.000 0.968

Output
**Energy**: -4.09 eV per atom
**Space-group type**: P4/mmm (123)
**Formation energy (no corrections)**: -6.0 eV per formula unit